## CoRu2 (PBE)

Data for a geometry-optimized CoRu2 structure.

The structure in POSCAR format:
```
CoRu2
1.0
-1.289 0.268 4.833
0.141 4.400 2.389
-4.265 2.264 1.333
Ru Co
4 2
Direct
0.125 0.625 0.125
0.125 0.125 0.125
0.625 0.125 0.125
0.125 0.125 0.625
0.750 0.750 0.750
0.500 0.500 0.500
```

Summary:
- Density of states at the Fermi level: 9.1 states/eV per cell
- E_tot: -0.572 Ry per atom